Record 1
DFT (meta-GGA SCAN) results for a crystal of KPSe2 relaxed with PBEsol.

```
4
Lattice="4.645 0.000 0.000 0.000 4.645 0.000 0.000 0.000 3.877" Properties=species:S:1:pos:R:3 pbc="T T T"
K 0.000 0.000 0.000
P 2.323 2.323 0.000
Se 0.000 2.323 1.938
Se 2.323 0.000 1.938
```

## Properties
- raw formation energy (eV/atom) = 0.1623
- total moment (μB/atom) = 0.000

=====

Record 2
DFT (meta-GGA SCAN) results for a crystal of K2PSe relaxed with PBEsol.

```
4
Lattice="3.679 0.000 0.000 0.000 3.679 0.000 0.000 0.000 9.592" Properties=species:S:1:pos:R:3 pbc="T T T"
K 0.000 0.000 0.000
K 1.839 1.839 4.155
P 0.000 0.000 6.574
Se 1.839 1.839 7.183
```

## Properties
- energy relative to the lowest polymorph listed for this composition (eV/f.u.) = 0.90
- raw formation energy (eV/atom) = -0.1926
- total moment (μB/atom) = 0.000

=====

Record 3
DFT (meta-GGA SCAN) results for a crystal of KPSe relaxed with PBEsol.

```
3
Lattice="0.000 3.434 3.434 3.434 0.000 3.434 3.434 3.434 0.000" Properties=species:S:1:pos:R:3 pbc="T T T"
K 0.000 0.000 0.000
P 1.717 1.717 1.717
Se 5.151 5.151 5.151
```

## Properties
- energy relative to the lowest polymorph listed for this composition (eV/f.u.) = 3.06
- raw formation energy (eV/atom) = 0.6477
- total moment (μB/atom) = 0.000

=====

Record 4
DFT (meta-GGA SCAN) results for a crystal of KPSe relaxed with PBEsol.

```
6
Lattice="3.172 -6.952 0.000 3.172 6.952 0.000 0.000 0.000 4.495" Properties=species:S:1:pos:R:3 pbc="T T T"
K 3.172 4.602 3.371
K 3.172 -4.602 1.124
P 3.172 0.000 0.000
P 3.172 0.000 2.247
Se 3.172 2.310 1.124
Se 3.172 -2.310 3.371
```

## Properties
- energy relative to the lowest polymorph listed for this composition (eV/f.u.) = 0.00
- raw formation energy (eV/atom) = -0.3709
- total moment (μB/atom) = 0.000

=====

Record 5
DFT (meta-GGA SCAN) results for a crystal of KSiP2 relaxed with PBEsol.

```
4
Lattice="-2.079 2.079 4.283 2.079 -2.079 4.283 2.079 2.079 -4.283" Properties=species:S:1:pos:R:3 pbc="T T T"
K 0.000 0.000 0.000
Si 2.079 0.000 2.142
P 0.000 0.000 4.283
P 0.000 2.079 2.142
```

## Properties
- raw formation energy (eV/atom) = 0.8110
- total moment (μB/atom) = 0.000

=====

Record 6
DFT (meta-GGA SCAN) results for a crystal of KSi4P relaxed with PBEsol.

```
6
Lattice="0.000 3.722 3.722 3.722 0.000 3.722 3.722 3.722 0.000" Properties=species:S:1:pos:R:3 pbc="T T T"
K 0.000 0.000 0.000
Si 2.797 2.797 2.797
Si 4.647 4.647 2.797
Si 4.647 2.797 4.647
Si 2.797 4.647 4.647
P 5.584 5.584 5.584
```

## Properties
- raw formation energy (eV/atom) = 0.7283
- total moment (μB/atom) = 0.000

=====

Record 7
DFT (meta-GGA SCAN) results for a crystal of KSr4P relaxed with PBEsol.

```
6
Lattice="0.000 5.160 5.160 5.160 0.000 5.160 5.160 5.160 0.000" Properties=species:S:1:pos:R:3 pbc="T T T"
K 0.000 0.000 0.000
Sr 6.437 3.884 3.884
Sr 3.884 6.437 3.884
Sr 3.884 3.884 6.437
Sr 6.437 6.437 6.437
P 2.580 2.580 2.580
```

## Properties
- energy of formation from the pure elements (eV/atom) = 0.505
- total moment (μB/atom) = 0.328

=====

Record 8
DFT (meta-GGA SCAN) results for a crystal of KSrP2 relaxed with PBEsol.

```
4
Lattice="2.411 -2.543 0.000 2.411 2.543 0.000 0.000 0.000 9.085" Properties=species:S:1:pos:R:3 pbc="T T T"
K 0.000 0.000 0.000
Sr 2.411 0.000 5.224
P 0.000 0.000 3.059
P 2.411 0.000 2.411
```

## Properties
- energy of formation from the pure elements (eV/atom) = -0.147
- energy relative to the lowest polymorph listed for this composition (eV/f.u.) = 2.51
- total moment (μB/atom) = 0.000

=====

Record 9
DFT (meta-GGA SCAN) results for a crystal of KSrP2 relaxed with PBEsol.

```
4
Lattice="3.933 0.000 0.000 0.000 4.135 0.000 -0.031 0.000 6.728" Properties=species:S:1:pos:R:3 pbc="T T T"
K 0.000 0.000 0.000
Sr -0.016 0.000 3.364
P 1.951 2.067 2.269
P 1.951 2.067 4.460
```

## Properties
- energy of formation from the pure elements (eV/atom) = -0.774
- energy relative to the lowest polymorph listed for this composition (eV/f.u.) = 0.00
- total moment (μB/atom) = 0.000

=====

Record 10
DFT (meta-GGA SCAN) results for a crystal of KTa2P relaxed with PBEsol.

```
4
Lattice="-1.346 2.622 5.598 1.346 -2.622 5.598 1.346 2.622 -5.598" Properties=species:S:1:pos:R:3 pbc="T T T"
K 0.000 0.000 0.000
Ta 1.346 0.000 3.387
Ta 0.000 2.622 2.212
P 0.000 0.000 5.598
```

## Properties
- energy of formation from the pure elements (eV/atom) = 0.415
- total moment (μB/atom) = 0.000

=====

Record 11
DFT (meta-GGA SCAN) results for a crystal of KTaP2 relaxed with PBEsol.

```
8
Lattice="-3.434 3.434 5.139 3.434 -3.434 5.139 3.434 3.434 -5.139" Properties=species:S:1:pos:R:3 pbc="T T T"
K 0.000 0.000 0.000
K 0.000 3.434 2.569
Ta 3.434 0.000 2.569
Ta 0.000 0.000 5.139
P 1.717 2.469 -1.285
P 4.399 1.717 1.285
P 1.717 0.965 3.854
P -0.965 1.717 6.423
```

## Properties
- energy of formation from the pure elements (eV/atom) = -0.378
- energy relative to the lowest polymorph listed for this composition (eV/f.u.) = 0.00
- total moment (μB/atom) = 0.000

=====

Record 12
DFT (meta-GGA SCAN) results for a crystal of KTaP2 relaxed with PBEsol.

```
4
Lattice="-1.937 1.937 4.718 1.937 -1.937 4.718 1.937 1.937 -4.718" Properties=species:S:1:pos:R:3 pbc="T T T"
K 0.000 0.000 0.000
Ta 1.937 0.000 2.359
P 0.000 0.000 4.718
P 0.000 1.937 2.359
```

## Properties
- energy of formation from the pure elements (eV/atom) = 0.707
- energy relative to the lowest polymorph listed for this composition (eV/f.u.) = 4.34
- total moment (μB/atom) = 0.000

=====

Record 13
DFT (meta-GGA SCAN) results for a crystal of KTaP2 relaxed with PBEsol.

```
4
Lattice="1.787 -2.066 0.000 1.787 2.066 0.000 0.000 0.000 10.866" Properties=species:S:1:pos:R:3 pbc="T T T"
K 0.000 0.000 0.000
Ta 1.787 0.000 3.278
P 0.000 0.000 5.157
P 1.787 0.000 8.323
```

## Properties
- energy of formation from the pure elements (eV/atom) = 0.620
- energy relative to the lowest polymorph listed for this composition (eV/f.u.) = 4.00
- total moment (μB/atom) = 0.000

=====

Record 14
DFT (meta-GGA SCAN) results for a crystal of KTaP4 relaxed with PBEsol.

```
6
Lattice="0.000 3.670 3.670 3.670 0.000 3.670 3.670 3.670 0.000" Properties=species:S:1:pos:R:3 pbc="T T T"
K 0.000 0.000 0.000
Ta 1.835 1.835 1.835
P 4.543 2.797 2.797
P 2.797 4.543 2.797
P 2.797 2.797 4.543
P 4.543 4.543 4.543
```

## Properties
- energy of formation from the pure elements (eV/atom) = 0.782
- total moment (μB/atom) = 0.000

=====

Record 15
DFT (meta-GGA SCAN) results for a crystal of KTcP2 relaxed with PBEsol.

```
4
Lattice="0.000 3.177 3.177 3.177 0.000 3.177 3.177 3.177 0.000" Properties=species:S:1:pos:R:3 pbc="T T T"
K 0.000 0.000 0.000
Tc 1.588 1.588 1.588
P 3.177 3.177 3.177
P 4.765 4.765 4.765
```

## Properties
- energy of formation from the pure elements (eV/atom) = 1.168
- energy relative to the lowest polymorph listed for this composition (eV/f.u.) = 6.05
- total moment (μB/atom) = 0.382

=====

Record 16
DFT (meta-GGA SCAN) results for a crystal of K4TcP relaxed with PBEsol.

```
6
Lattice="0.000 4.538 4.538 4.538 0.000 4.538 4.538 4.538 0.000" Properties=species:S:1:pos:R:3 pbc="T T T"
K 3.421 3.421 3.421
K 5.655 5.655 3.421
K 5.655 3.421 5.655
K 3.421 5.655 5.655
Tc 0.000 0.000 0.000
P 6.807 6.807 6.807
```

## Properties
- energy of formation from the pure elements (eV/atom) = 1.111
- total moment (μB/atom) = 0.665

=====

Record 17
DFT (meta-GGA SCAN) results for a crystal of KTcP2 relaxed with PBEsol.

```
4
Lattice="3.779 -3.791 0.000 3.779 3.791 0.000 -0.356 0.000 2.474" Properties=species:S:1:pos:R:3 pbc="T T T"
K 0.000 0.000 0.000
Tc 3.779 0.000 0.000
P 1.890 1.896 0.000
P 1.890 -1.896 0.000
```

## Properties
- energy of formation from the pure elements (eV/atom) = 0.756
- energy relative to the lowest polymorph listed for this composition (eV/f.u.) = 4.40
- total moment (μB/atom) = 0.000

=====

Record 18
DFT (meta-GGA SCAN) results for a crystal of K2TcP relaxed with PBEsol.

```
4
Lattice="3.109 0.000 0.000 0.000 5.018 0.000 0.000 0.000 5.355" Properties=species:S:1:pos:R:3 pbc="T T T"
K 0.000 1.256 0.000
K 0.000 3.762 0.000
Tc 1.555 0.000 2.677
P 1.555 2.509 2.677
```

## Properties
- energy of formation from the pure elements (eV/atom) = 0.843
- total moment (μB/atom) = 0.000

=====

Record 19
DFT (meta-GGA SCAN) results for a crystal of KTc2P relaxed with PBEsol.

```
4
Lattice="-1.351 2.709 4.936 1.351 -2.709 4.936 1.351 2.709 -4.936" Properties=species:S:1:pos:R:3 pbc="T T T"
K 0.000 0.000 0.000
Tc 1.351 0.000 3.026
Tc 0.000 0.000 5.137
P 0.000 2.709 2.166
```

## Properties
- energy of formation from the pure elements (eV/atom) = 0.917
- total moment (μB/atom) = 0.000

=====

Record 20
DFT (meta-GGA SCAN) results for a crystal of KTc2P relaxed with PBEsol.

```
4
Lattice="1.449 0.836 9.388 -1.449 0.836 9.388 0.000 -1.673 9.388" Properties=species:S:1:pos:R:3 pbc="T T T"
K 0.000 0.000 0.000
Tc 0.000 0.000 6.437
Tc 0.000 0.000 13.774
P 0.000 0.000 21.465
```

## Properties
- energy of formation from the pure elements (eV/atom) = 0.380
- total moment (μB/atom) = 0.000

=====

Record 21
DFT (meta-GGA SCAN) results for a crystal of KTcP2 relaxed with PBEsol.

```
4
Lattice="1.619 0.935 8.141 -1.619 0.935 8.141 0.000 -1.869 8.141" Properties=species:S:1:pos:R:3 pbc="T T T"
K 0.000 0.000 0.000
Tc 0.000 0.000 12.212
P 0.000 0.000 5.602
P 0.000 0.000 18.822
```

## Properties
- energy of formation from the pure elements (eV/atom) = -0.243
- energy relative to the lowest polymorph listed for this composition (eV/f.u.) = 0.41
- total moment (μB/atom) = 0.000

=====

Record 22
DFT (meta-GGA SCAN) results for a crystal of KTcP2 relaxed with PBEsol.

```
4
Lattice="-2.025 3.110 3.655 2.025 -3.110 3.655 2.025 3.110 -3.655" Properties=species:S:1:pos:R:3 pbc="T T T"
K 0.000 0.000 0.000
Tc 0.000 0.000 3.655
P 2.025 0.000 2.545
P 0.000 3.110 1.109
```

## Properties
- energy of formation from the pure elements (eV/atom) = 0.176
- energy relative to the lowest polymorph listed for this composition (eV/f.u.) = 2.09
- total moment (μB/atom) = 0.000

=====

Record 23
DFT (meta-GGA SCAN) results for a crystal of K2TcP relaxed with PBEsol.

```
4
Lattice="3.227 0.000 0.000 0.000 3.227 0.000 0.000 0.000 10.028" Properties=species:S:1:pos:R:3 pbc="T T T"
K 0.000 0.000 0.000
K 1.613 1.613 4.324
Tc 1.613 1.613 7.481
P 0.000 0.000 6.739
```

## Properties
- energy of formation from the pure elements (eV/atom) = 0.099
- total moment (μB/atom) = 0.010

=====

Record 24
DFT (meta-GGA SCAN) results for a crystal of KTcP2 relaxed with PBEsol.

```
4
Lattice="2.952 0.000 0.000 0.000 2.952 0.000 0.000 0.000 7.756" Properties=species:S:1:pos:R:3 pbc="T T T"
K 0.000 0.000 0.000
Tc 0.000 0.000 3.878
P 1.476 1.476 2.466
P 1.476 1.476 5.290
```

## Properties
- energy of formation from the pure elements (eV/atom) = -0.345
- energy relative to the lowest polymorph listed for this composition (eV/f.u.) = 0.00
- total moment (μB/atom) = 0.000

=====

Record 25
DFT (meta-GGA SCAN) results for a crystal of K3Te3P relaxed with PBEsol.

```
28
Lattice="8.890 0.000 0.000 0.000 12.970 0.000 -3.902 0.000 8.767" Properties=species:S:1:pos:R:3 pbc="T T T"
K -1.855 2.048 4.364
K -3.806 4.437 8.748
K 1.264 0.752 1.697
K -0.687 5.733 6.081
K 0.873 9.373 6.857
K 2.824 10.082 2.473
K 2.163 2.888 6.294
K 4.115 3.597 1.910
K 5.675 7.237 2.687
K 3.723 12.218 7.070
K 8.794 8.533 0.019
K 6.843 10.922 4.403
Te 0.096 8.106 3.535
Te -1.855 11.349 7.919
Te -1.094 2.326 7.705
Te 0.857 4.160 3.321
Te 2.754 6.696 0.730
Te 0.803 12.759 5.114
Te 4.185 0.211 3.653
Te 2.234 6.274 8.037
Te 4.131 8.811 5.446
Te 6.082 10.645 1.062
Te 6.843 1.621 0.849
Te 4.892 4.864 5.233
P -0.003 0.056 7.535
P 1.948 6.429 3.151
P 3.040 6.541 5.617
P 4.991 12.914 1.233
```

## Properties
- energy relative to the lowest polymorph listed for this composition (eV/f.u.) = 0.11
- raw formation energy (eV/atom) = -0.7819
- total moment (μB/atom) = 0.000

=====

Record 26
DFT (meta-GGA SCAN) results for a crystal of K4TeP relaxed with PBEsol.

```
6
Lattice="0.000 4.572 4.572 4.572 0.000 4.572 4.572 4.572 0.000" Properties=species:S:1:pos:R:3 pbc="T T T"
K 1.142 1.142 1.142
K 3.429 3.429 1.142
K 3.429 1.142 3.429
K 1.142 3.429 3.429
Te 6.857 6.857 6.857
P 4.572 4.572 4.572
```

## Properties
- raw formation energy (eV/atom) = 0.0628
- total moment (μB/atom) = 0.183

=====

Record 27
DFT (meta-GGA SCAN) results for a crystal of KTeP2 relaxed with PBEsol.

```
16
Lattice="6.940 0.000 0.000 0.000 6.525 0.000 -0.044 0.000 9.853" Properties=species:S:1:pos:R:3 pbc="T T T"
K 0.162 1.631 3.816
K 1.531 1.631 0.110
K 5.365 4.894 9.743
K 6.734 4.894 6.037
Te 1.084 4.894 2.560
Te 1.999 4.894 8.934
Te 4.897 1.631 0.919
Te 5.812 1.631 7.293
P 2.664 0.031 5.710
P 2.664 3.232 5.710
P 3.336 1.631 7.091
P 3.411 1.631 2.920
P 3.485 4.894 6.933
P 3.559 4.894 2.762
P 4.232 3.294 4.143
P 4.232 6.494 4.143
```

## Properties
- raw formation energy (eV/atom) = -0.5230
- total moment (μB/atom) = 0.000

=====

Record 28
DFT (meta-GGA SCAN) results for a crystal of KTeP2 relaxed with PBEsol.

```
4
Lattice="3.138 0.000 0.000 0.000 3.138 0.000 0.000 0.000 9.219" Properties=species:S:1:pos:R:3 pbc="T T T"
K 0.000 0.000 0.000
Te 1.569 1.569 6.476
P 0.000 0.000 3.344
P 1.569 1.569 2.435
```

## Properties
- raw formation energy (eV/atom) = -0.0790
- total moment (μB/atom) = 0.000